(1)
Density functional theory data (GGA-PBE) for an optimized crystal structure of CsYEr.

The value obtained for the density is 4.10 g/cm3. The energy comes out at -2.697 eV/atom. As for the excess energy over the best structure of this formula in the dataset: 0 meV per atom.

The structure belongs to space group F-43m (No. 216); the cell edges are 8.576, 8.576 and 8.576 Å and the angles 90.00°, 90.00° and 90.00°. The inequivalent atoms are Cs at (0.000, 0.000, 0.000), Y at (0.000, 0.000, 0.500) and Er at (0.250, 0.250, 0.250).

***

(2)
Density functional theory data (GGA-PBE) for an optimized crystal structure of Cs2GaHgF6.

The value obtained for the density is 6.42 g/cm3. The energy comes out at -3.957 eV/atom.

The structure belongs to space group Fm-3m (No. 225); the cell edges are 8.760, 8.760 and 8.760 Å and the angles 90.00°, 90.00° and 90.00°. The inequivalent atoms are Cs at (0.250, 0.250, 0.250), Ga at (0.000, 0.000, 0.000), Hg at (0.000, 0.000, 0.500) and F at (0.000, 0.000, 0.218).

***

(3)
Density functional theory data (GGA-PBE) for an optimized crystal structure of Cs2GdHgF6.

The value obtained for the density is 6.18 g/cm3. The energy comes out at -4.627 eV/atom.

The structure belongs to space group Fm-3m (No. 225); the cell edges are 9.256, 9.256 and 9.256 Å and the angles 90.00°, 90.00° and 90.00°. The inequivalent atoms are Cs at (0.250, 0.250, 0.250), Gd at (0.000, 0.000, 0.000), Hg at (0.000, 0.000, 0.500) and F at (0.000, 0.000, 0.234).

***

(4)
Density functional theory data (GGA-PBE) for an optimized crystal structure of Cs2HfOF4.

The value obtained for the density is 5.60 g/cm3. The energy comes out at -6.155 eV/atom.

The structure belongs to space group Cmcm (No. 63); the cell edges are 6.516, 14.084 and 6.926 Å and the angles 90.00°, 90.00° and 90.00°. The inequivalent atoms are Cs at (0.000, 0.045, 0.250), Cs at (0.000, 0.260, 0.750), Hf at (0.000, 0.373, 0.250), O at (0.000, 0.244, 0.250) and F at (0.215, 0.400, 0.048).

***

(5)
Density functional theory data (GGA-PBE) for an optimized crystal structure of Cs2RbHfF6.

The value obtained for the density is 5.47 g/cm3. The energy comes out at -5.337 eV/atom.

The structure belongs to space group C2/m (No. 12); the cell edges are 10.380, 6.583 and 6.132 Å and the angles 90.00°, 111.23° and 90.00°. The inequivalent atoms are Cs at (0.230, 0.000, 0.215), Rb at (0.000, 0.000, 0.500), Hf at (0.000, 0.500, 0.000), F at (0.040, 0.258, 0.821) and F at (0.190, 0.500, 0.278).

***

(6)
Density functional theory data (GGA-PBE) for an optimized crystal structure of Cs2HgF4.

The value obtained for the density is 6.04 g/cm3. The energy comes out at -3.543 eV/atom.

The structure belongs to space group I4/mmm (No. 139); the cell edges are 4.565, 4.565 and 14.311 Å and the angles 90.00°, 90.00° and 90.00°. The inequivalent atoms are Cs at (0.000, 0.000, 0.145), Hg at (0.000, 0.000, 0.500), F at (0.000, 0.000, 0.340) and F at (0.000, 0.500, 0.000).

***

Please write out number 1 again, unchanged.
Density functional theory data (GGA-PBE) for an optimized crystal structure of CsYEr.

The value obtained for the density is 4.10 g/cm3. The energy comes out at -2.697 eV/atom. As for the excess energy over the best structure of this formula in the dataset: 0 meV per atom.

The structure belongs to space group F-43m (No. 216); the cell edges are 8.576, 8.576 and 8.576 Å and the angles 90.00°, 90.00° and 90.00°. The inequivalent atoms are Cs at (0.000, 0.000, 0.000), Y at (0.000, 0.000, 0.500) and Er at (0.250, 0.250, 0.250).